Entry from the Alexandria database: an optimized crystal structure of TlCoHg2 (PBE-GGA).

Properties
* crystal system: orthorhombic
* energy relative to the lowest polymorph listed for this composition: 0.84 eV/f.u.
* energy of formation from the pure elements: 2.1 eV/f.u.
* D(E_F): 0.6757 states/eV per atom

a = 5.7524 Å, b = 8.2751 Å, c = 3.6284 Å
α = 90.00°, β = 90.00°, γ = 90.00°
Last column: nearest neighbours and their distance in Å.
Space group Cmmm (No. 65)
Symmetry-distinct sites (fractional):
Tl (0.0000, 0.0000, 0.0000) (multiplicity 2)  2 Co 2.88, 8 Hg 3.10
Co (0.0000, 0.5000, 0.0000) (multiplicity 2)  2 Tl 2.88, 8 Hg 3.10
Hg (0.2500, 0.2500, 0.5000) (multiplicity 4)  2 Hg 2.88, 4 Tl 3.10, 4 Co 3.10